A plane-wave DFT calculation with GGA-PBE was carried out for an optimized crystal structure of NdCrP2Ru.

a b c (Å): 4.050 4.050 5.793
angles (deg): 110.46 110.46 90.00
Each line ends with the local moment (μB).
Element x y z (fractional)
P  0.634  0.634  0.268  -0.05
Ru  0.250  0.750  0.500  0.00
P  0.366  0.366  0.732  -0.05
Cr  0.750  0.250  0.500  1.71
Nd  0.000  0.000  0.000  0.02

Results
- calculated total energy (eV per atom) = -7.772
- volume (Å³/atom) = 16.5
- SG = I-4m2 (119)

=====

A plane-wave DFT calculation with GGA-PBE was carried out for an optimized crystal structure of NdPa2CrS8.

a b c (Å): 6.168 5.957 8.171
angles (deg): 89.99 90.00 88.31
Each line ends with the local moment (μB).
Element x y z (fractional)
Nd  0.000  0.000  0.500  0.01
Pa  0.500  0.500  0.241  0.07
S  0.166  0.778  0.216  -0.03
S  0.321  0.262  0.000  -0.04
S  0.679  0.738  0.000  -0.04
S  0.166  0.778  0.784  -0.03
Pa  0.500  0.500  0.759  0.07
S  0.834  0.222  0.784  -0.03
S  0.644  0.722  0.500  0.00
S  0.356  0.278  0.500  0.00
S  0.834  0.222  0.216  -0.03
Cr  0.000  0.000  0.000  2.81

Results
- volume (Å³/atom) = 25.0
- formation energy without anion corrections (meV/atom) = -1330
- SG = P2/m (10)

=====

A plane-wave DFT calculation with GGA-PBE was carried out for an optimized crystal structure of NdCrPb2.

a b c (Å): 4.804 6.085 4.759
angles (deg): 67.46 59.69 66.75
Each line ends with the local moment (μB).
Element x y z (fractional)
Nd  0.750  0.750  0.750  -0.11
Pb  0.520  0.442  0.519  -0.05
Cr  0.250  0.250  0.250  3.52
Pb  0.980  0.059  0.981  -0.05

Results
- calculated total energy (eV per atom) = -5.450
- volume (Å³/atom) = 26.8
- SG = C2/m (12)

=====

A plane-wave DFT calculation with GGA-PBE was carried out for an optimized crystal structure of Rb3Nd3CrSe8.

a b c (Å): 8.394 8.394 9.567
angles (deg): 116.02 90.00 120.00
Each line ends with the local moment (μB).
Element x y z (fractional)
Se  0.791  0.026  0.317  -0.08
Se  0.735  0.469  0.704  -0.03
Se  0.265  0.531  0.296  -0.03
Rb  0.000  0.500  0.000  0.00
Se  0.209  0.419  0.683  -0.08
Nd  0.500  0.500  0.500  0.01
Cr  0.000  0.000  0.500  2.74
Se  0.765  0.974  0.683  -0.08
Se  0.209  0.974  0.683  -0.08
Se  0.791  0.581  0.317  -0.08
Rb  0.000  0.000  0.000  0.00
Se  0.235  0.026  0.317  -0.08
Nd  0.000  0.500  0.500  0.01
Nd  0.500  0.000  0.500  0.01
Rb  0.500  0.500  0.000  0.00

Results
- volume (Å³/atom) = 33.6
- formation energy without anion corrections (meV/atom) = -1383
- SG = R-3m (166)

=====

A plane-wave DFT calculation with GGA-PBE was carried out for an optimized crystal structure of NdCrRe.

a b c (Å): 4.029 6.012 5.298
angles (deg): 90.00 90.00 109.58
Element x y z (fractional)
Re  0.551  0.102  0.750
Cr  0.000  0.000  0.500
Re  0.449  0.898  0.250
Nd  0.283  0.565  0.750
Cr  0.000  0.000  0.000
Nd  0.717  0.435  0.250

Results
- calculated total energy (eV per atom) = -8.739
- volume (Å³/atom) = 20.2
- SG = Cmcm (63)

=====

A plane-wave DFT calculation with GGA-PBE was carried out for an optimized crystal structure of Nd3Cr5S12.

a b c (Å): 13.045 13.045 13.045
angles (deg): 109.47 109.47 109.47
Each line ends with the local moment (μB).
Element x y z (fractional)
S  0.117  0.704  0.525  -0.08
S  0.586  0.704  0.679  -0.08
S  0.883  0.296  0.475  -0.08
Nd  0.625  0.375  0.750  0.07
S  0.414  0.117  0.593  -0.08
Nd  0.375  0.750  0.625  0.07
Nd  0.125  0.250  0.875  0.07
Cr  0.375  0.125  0.750  2.70
Cr  0.375  0.250  0.125  2.70
Cr  0.750  0.625  0.375  2.70
S  0.914  0.821  0.796  -0.08
S  0.117  0.414  0.093  -0.08
Cr  0.875  0.250  0.625  2.70
Cr  0.500  0.500  0.000  3.05
S  0.593  0.975  0.679  -0.08
S  0.475  0.679  0.093  -0.08
S  0.704  0.117  0.025  -0.08
S  0.179  0.093  0.975  -0.08
S  0.179  0.086  0.704  -0.08
S  0.093  0.179  0.475  -0.08
S  0.383  0.975  0.796  -0.08
Cr  0.250  0.375  0.625  2.70
S  0.296  0.883  0.975  -0.08
Cr  0.750  0.125  0.875  2.70
Nd  0.875  0.125  0.250  0.07
S  0.321  0.796  0.414  -0.08
S  0.296  0.414  0.821  -0.08
S  0.704  0.586  0.179  -0.08
Cr  0.250  0.875  0.125  2.70
S  0.414  0.296  0.321  -0.08
Nd  0.750  0.875  0.625  0.07
Nd  0.250  0.625  0.875  0.07
S  0.586  0.883  0.407  -0.08
S  0.907  0.821  0.525  -0.08
S  0.796  0.475  0.383  -0.08
Cr  0.500  0.500  0.500  3.05
S  0.821  0.907  0.025  -0.08
S  0.025  0.617  0.704  -0.08
S  0.883  0.586  0.907  -0.08
S  0.679  0.204  0.586  -0.08
S  0.086  0.907  0.383  -0.08
S  0.093  0.914  0.117  -0.08
S  0.407  0.383  0.586  -0.08
Cr  0.500  0.000  0.500  3.05
Cr  0.000  0.000  0.000  3.05
Cr  0.000  0.000  0.500  3.05
Cr  0.500  0.000  0.000  3.05
S  0.025  0.407  0.821  -0.08
Nd  0.750  0.375  0.125  0.07
Nd  0.625  0.250  0.375  0.07
S  0.914  0.093  0.617  -0.08
S  0.525  0.204  0.117  -0.08
Cr  0.000  0.500  0.500  3.05
S  0.525  0.321  0.907  -0.08
S  0.975  0.383  0.296  -0.08
S  0.617  0.593  0.914  -0.08
S  0.593  0.617  0.414  -0.08
Cr  0.625  0.750  0.875  2.70
Nd  0.250  0.125  0.375  0.07
S  0.204  0.679  0.086  -0.08
S  0.617  0.025  0.204  -0.08
S  0.407  0.025  0.321  -0.08
S  0.796  0.321  0.914  -0.08
S  0.086  0.179  0.204  -0.08
S  0.907  0.086  0.883  -0.08
Cr  0.875  0.625  0.750  2.70
Cr  0.125  0.375  0.250  2.70
Cr  0.625  0.875  0.250  2.70
Nd  0.125  0.875  0.750  0.07
Cr  0.000  0.500  0.000  3.05
S  0.821  0.914  0.296  -0.08
Cr  0.125  0.750  0.375  2.70
S  0.975  0.593  0.179  -0.08
S  0.383  0.407  0.086  -0.08
S  0.679  0.475  0.593  -0.08
S  0.204  0.525  0.617  -0.08
S  0.475  0.796  0.883  -0.08
Nd  0.875  0.750  0.125  0.07
S  0.321  0.525  0.407  -0.08
Nd  0.375  0.625  0.250  0.07

Results
- volume (Å³/atom) = 21.4
- formation energy without anion corrections (meV/atom) = -1084
- SG = Ia-3d (230)

=====

A plane-wave DFT calculation with GGA-PBE was carried out for an optimized crystal structure of NdCrS2.

a b c (Å): 3.989 3.989 6.390
angles (deg): 71.81 71.81 60.00
Each line ends with the local moment (μB).
Element x y z (fractional)
Cr  0.000  0.000  0.000  3.72
S  0.260  0.260  0.219  0.00
Nd  0.500  0.500  0.500  0.02
S  0.740  0.740  0.781  0.00

Results
- volume (Å³/atom) = 20.5
- formation energy without anion corrections (meV/atom) = -1145
- SG = R-3m (166)

=====

A plane-wave DFT calculation with GGA-PBE was carried out for an optimized crystal structure of Nd2VCrS6.

a b c (Å): 6.277 6.966 9.170
angles (deg): 90.00 90.22 90.00
Each line ends with the local moment (μB).
Element x y z (fractional)
S  0.611  0.020  0.250  -0.04
Nd  0.958  0.100  0.751  0.03
S  0.178  0.191  0.051  -0.03
Nd  0.042  0.900  0.249  0.03
S  0.178  0.188  0.450  -0.03
Nd  0.542  0.600  0.749  0.03
V  0.500  0.000  0.000  1.74
S  0.111  0.480  0.750  -0.04
S  0.889  0.520  0.250  -0.04
S  0.322  0.688  0.050  -0.03
S  0.389  0.980  0.750  -0.04
Cr  0.500  0.000  0.500  2.90
S  0.678  0.309  0.551  -0.03
Cr  0.000  0.500  0.000  2.90
S  0.678  0.312  0.950  -0.03
V  0.000  0.500  0.500  1.74
S  0.822  0.809  0.949  -0.03
S  0.322  0.691  0.449  -0.03
Nd  0.458  0.400  0.251  0.03
S  0.822  0.812  0.550  -0.03

Results
- volume (Å³/atom) = 20.0
- formation energy without anion corrections (meV/atom) = -1411
- SG = P2_1/c (14)

=====

A plane-wave DFT calculation with GGA-PBE was carried out for an optimized crystal structure of NdSc2Cr.

a b c (Å): 3.327 3.327 8.554
angles (deg): 90.00 90.00 90.00
Each line ends with the local moment (μB).
Element x y z (fractional)
Cr  0.500  0.500  0.000  2.48
Nd  0.500  0.500  0.500  0.05
Sc  0.000  0.000  0.188  -0.10
Sc  0.000  0.000  0.812  -0.10

Results
- calculated total energy (eV per atom) = -6.585
- volume (Å³/atom) = 23.7
- SG = P4/mmm (123)

=====

A plane-wave DFT calculation with GGA-PBE was carried out for an optimized crystal structure of Nd3CrSe6.

a b c (Å): 6.853 7.542 10.183
angles (deg): 90.00 92.90 90.00
Each line ends with the local moment (μB).
Element x y z (fractional)
Nd  0.500  0.500  0.000  0.01
Nd  0.545  0.894  0.741  0.01
Se  0.656  0.199  0.567  -0.03
Cr  0.500  0.500  0.500  2.91
Cr  0.000  0.000  0.000  2.91
Se  0.358  0.541  0.728  -0.03
Se  0.691  0.169  0.933  -0.03
Se  0.344  0.801  0.433  -0.03
Se  0.642  0.459  0.272  -0.03
Se  0.809  0.669  0.567  -0.03
Nd  0.955  0.394  0.759  0.01
Se  0.142  0.041  0.772  -0.03
Se  0.858  0.959  0.228  -0.03
Nd  0.455  0.106  0.259  0.01
Se  0.309  0.831  0.067  -0.03
Se  0.191  0.331  0.433  -0.03
Se  0.156  0.301  0.067  -0.03
Se  0.844  0.699  0.933  -0.03
Nd  0.045  0.606  0.241  0.01
Nd  0.000  0.000  0.500  0.01

Results
- volume (Å³/atom) = 26.3
- formation energy without anion corrections (meV/atom) = -1487
- SG = P2_1/c (14)

=====

A plane-wave DFT calculation with GGA-PBE was carried out for an optimized crystal structure of NdCr2Si2.

a b c (Å): 6.092 6.092 6.092
angles (deg): 142.42 142.42 54.19
Each line ends with the local moment (μB).
Element x y z (fractional)
Si  0.380  0.380  0.000  -0.02
Cr  0.250  0.750  0.500  0.64
Nd  0.000  0.000  0.000  -0.04
Cr  0.750  0.250  0.500  0.64
Si  0.620  0.620  0.000  -0.02

Results
- volume (Å³/atom) = 16.7
- formation energy without anion corrections (meV/atom) = -372
- SG = I4/mmm (139)

=====

A plane-wave DFT calculation with GGA-PBE was carried out for an optimized crystal structure of NdCrTc.

a b c (Å): 3.935 5.985 5.379
angles (deg): 90.00 90.00 109.19
Element x y z (fractional)
Tc  0.553  0.105  0.750
Nd  0.714  0.427  0.250
Cr  0.000  0.000  0.000
Nd  0.286  0.573  0.750
Tc  0.447  0.895  0.250
Cr  0.000  0.000  0.500

Results
- calculated total energy (eV per atom) = -8.088
- volume (Å³/atom) = 19.9
- SG = Cmcm (63)

=====

> The highest volume belongs to which entry?

Rb3Nd3CrSe8

=====

> volume of number 6 (Nd3Cr5S12)?

21.4 Å³/atom

=====

> What is the volume in the first record?

16.5 Å³/atom